Entry 1:
The following is a PBE calculation of a geometry-optimized Ce2Al7Pd structure, from the Alexandria database.

Values from the calculation:
SG: No. 115

a = 4.237 Å, b = 4.237 Å, c = 11.115 Å
α = 90.00°, β = 90.00°, γ = 90.00°
Site moments in Bohr magnetons follow the coordinates.
Positions (direct):
Ce (0.500, 0.000, 0.748)  0.77
Ce (0.000, 0.500, 0.252)  0.77
Al (0.000, 0.500, 0.870)  0.00
Al (0.500, 0.000, 0.357)  0.00
Al (0.500, 0.000, 0.130)  0.00
Al (0.000, 0.500, 0.643)  0.00
Al (0.000, 0.000, 0.500)  0.00
Al (0.000, 0.000, 0.000)  0.00
Al (0.500, 0.500, 0.500)  0.00
Pd (0.500, 0.500, 0.000)  0.01

---

Entry 2:
The following is a PBE calculation of a geometry-optimized Er5ThAu4 structure, from the Alexandria database.

Values from the calculation:
SG: No. 123

a = 3.539 Å, b = 3.539 Å, c = 19.430 Å
α = 90.00°, β = 90.00°, γ = 90.00°
Positions (direct):
Er (0.500, 0.500, 0.128)
Er (0.500, 0.500, 0.313)
Er (0.500, 0.500, 0.500)
Er (0.500, 0.500, 0.687)
Er (0.500, 0.500, 0.872)
Th (0.000, 0.000, 0.000)
Au (0.000, 0.000, 0.220)
Au (0.000, 0.000, 0.407)
Au (0.000, 0.000, 0.593)
Au (0.000, 0.000, 0.780)

---

no.,magnetization (μB/atom),DFT total energy (eV/atom)
1,0.20,-4.78
2,0.00,-5.04